DFT (PBE) results for a relaxed Ba2CaAlTe5 crystal.

## Properties
ΔE_f (raw) = -117.4 kJ per mole of atoms

```
Ba2CaAlTe5
1.0
2.269 -10.162 0.000
2.269 10.162 0.000
0.000 0.000 14.384
Ba Ca Al Te
4 2 2 10
Direct
0.122 0.878 0.500 Ba
0.126 0.874 0.138 Ba
0.874 0.126 0.638 Ba
0.878 0.122 0.000 Ba
0.205 0.795 0.832 Ca
0.795 0.205 0.332 Ca
0.435 0.565 0.238 Al
0.565 0.435 0.738 Al
0.044 0.956 0.842 Te
0.301 0.699 0.482 Te
0.311 0.689 0.176 Te
0.358 0.642 0.821 Te
0.500 0.500 0.081 Te
0.500 0.500 0.581 Te
0.642 0.358 0.321 Te
0.689 0.311 0.676 Te
0.699 0.301 0.982 Te
0.956 0.044 0.342 Te
```

DFT (PBE) results for a relaxed PmPtO6 crystal.

## Properties
ΔE_f (raw) = -78.3 kJ per mole of atoms

```
PmPtO6
1.0
3.430 1.980 2.352
-3.430 1.980 2.352
0.000 -3.960 2.352
Pm Pt O
1 1 6
Direct
0.000 0.000 0.000 Pm
0.500 0.500 0.500 Pt
0.206 0.206 0.592 O
0.206 0.592 0.206 O
0.408 0.794 0.794 O
0.592 0.206 0.206 O
0.794 0.408 0.794 O
0.794 0.794 0.408 O
```

DFT (PBE) results for a relaxed BaSr2CaIn4 crystal.

## Properties
DFT total energy = -2.69 eV per atom

```
BaSr2CaIn4
1.0
2.878 1.661 9.463
-2.878 1.661 9.463
0.000 -3.323 9.463
Ba Sr Ca In
1 2 1 4
Direct
0.000 0.000 0.000 Ba
0.249 0.249 0.249 Sr
0.751 0.751 0.751 Sr
0.500 0.500 0.500 Ca
0.127 0.127 0.127 In
0.381 0.381 0.381 In
0.619 0.619 0.619 In
0.873 0.873 0.873 In
```

DFT (PBE) results for a relaxed LiTiCoSb crystal.

## Properties
ΔE_f (raw) = -29.9 kJ per mole of atoms

```
LiTiCoSb
1.0
6.130 0.000 0.000
0.000 6.130 0.000
0.000 0.000 6.130
Li Ti Co Sb
4 4 4 4
Direct
0.000 0.000 0.000 Li
0.000 0.500 0.500 Li
0.500 0.000 0.500 Li
0.500 0.500 0.000 Li
0.250 0.250 0.250 Ti
0.250 0.750 0.750 Ti
0.750 0.250 0.750 Ti
0.750 0.750 0.250 Ti
0.000 0.000 0.500 Co
0.000 0.500 0.000 Co
0.500 0.000 0.000 Co
0.500 0.500 0.500 Co
0.250 0.250 0.750 Sb
0.250 0.750 0.250 Sb
0.750 0.250 0.250 Sb
0.750 0.750 0.750 Sb
```